VASP calculation (PBE) on a relaxed structure of Nb3ZnSe.

D(E_F)	6.5	states/eV/cell
magnetic moment	0.00	μB/f.u.
formation energy without anion corrections	0.71	eV per atom
calculated volume	107	Å³/cell
DFT total energy	-31.41	eV for the cell shown

The structure in extended XYZ format:
```
5
Lattice="-1.6126 0.7851 4.3991 -4.2707 -1.6473 -1.2715 1.3153 -4.3862 1.2650" Properties=species:S:1:pos:R:3 pbc="T T T"
Nb -2.1353 -0.8237 -0.6358
Nb 0.6576 -2.1931 0.6325
Nb -0.8063 0.3926 2.1995
Zn -2.2840 -2.6242 2.1963
Se 0.0000 0.0000 0.0000
```